1.
Below is an optimized crystal structure of KYCl2, with properties calculated at the PBE-GGA level.

D(E_F) = 2.171 states/eV/cell
density = 3.33 g/cm³
magnetization = 1.99 Bohr magnetons per cell
excess energy over the best structure of this formula in the dataset = 442.5 meV/atom

Lattice parameters (Å, degrees): 5.1972 5.1972 5.1972 60.00 60.00 60.00
Fractional coordinates of all 4 atoms:
1 K 0.0000 0.0000 0.0000
2 Y 0.5000 0.5000 0.5000
3 Cl 0.2500 0.2500 0.2500
4 Cl 0.7500 0.7500 0.7500

2.
Below is an optimized crystal structure of BaNaGe, with properties calculated at the PBE-GGA level.

D(E_F) = 11.605 states/eV/cell
density = 3.84 g/cm³
magnetization = 0.00 Bohr magnetons per cell
formation energy from the elements = -0.343 eV/atom

Lattice parameters (Å, degrees): 14.3025 5.0658 8.3477 90.00 90.00 90.00
Fractional coordinates of all 18 atoms:
1 Ba 0.0455 0.0000 0.2275
2 Ba 0.2500 0.0000 0.8635
3 Ba 0.4545 0.0000 0.2275
4 Ba 0.5455 0.0000 0.7725
5 Ba 0.7500 0.0000 0.1365
6 Ba 0.9545 0.0000 0.7725
7 Na 0.1373 0.5000 0.5753
8 Na 0.2500 0.5000 0.2125
9 Na 0.3627 0.5000 0.5753
10 Na 0.6373 0.5000 0.4247
11 Na 0.7500 0.5000 0.7875
12 Na 0.8627 0.5000 0.4247
13 Ge 0.0845 0.5000 0.9525
14 Ge 0.2500 0.0000 0.4471
15 Ge 0.4155 0.5000 0.9525
16 Ge 0.5845 0.5000 0.0475
17 Ge 0.7500 0.0000 0.5529
18 Ge 0.9155 0.5000 0.0475

3.
Below is an optimized crystal structure of PtWS2N, with properties calculated at the PBE-GGA level.

D(E_F) = 3.536 states/eV/cell
density = 8.70 g/cm³
magnetization = 2.88 Bohr magnetons per cell
excess energy over the best structure of this formula in the dataset = 709.3 meV/atom

Lattice parameters (Å, degrees): 4.8998 4.8998 3.6325 90.00 90.00 90.00
Fractional coordinates of all 5 atoms:
1 Pt 0.0000 0.0000 0.0000
2 W 0.5000 0.5000 0.5000
3 S 0.0000 0.5000 0.0000
4 S 0.5000 0.0000 0.0000
5 N 0.0000 0.0000 0.5000

Look up the D(E_F) of the first one.
2.171 states/eV/cell

Among the records above, which one has the highest D(E_F)?
BaNaGe